## w
Computed, not measured: a relaxed structure of Ti2GaGe2 at the GGA-PBE level of DFT.

Unit cell a=3.5906 b=3.5906 c=13.5306 alpha=90.00 beta=90.00 gamma=90.00
Space group I4/mmm (No. 139)
Inequivalent atoms, fractional coordinates:
Ti 0.0000 0.0000 0.1006 x4
Ga 0.0000 0.0000 0.5000 x2
Ge 0.0000 0.5000 0.2500 x4

Values from the calculation:
size of the total moment	0.00	μB/cell
DOS(E_F)	8.310	states/eV/cell


## x
Computed, not measured: a relaxed structure of Ti2GaGe2 at the GGA-PBE level of DFT.

Unit cell a=6.7898 b=6.7898 c=3.7266 alpha=90.00 beta=90.00 gamma=90.00
Space group P4/mbm (No. 127)
Inequivalent atoms, fractional coordinates:
Ti 0.1674 0.3326 0.0000 x4
Ga 0.0000 0.0000 0.0000 x2
Ge 0.1366 0.6366 0.5000 x4

Values from the calculation:
size of the total moment	0.00	μB/cell
DOS(E_F)	5.487	states/eV/cell


Relative energies in meV/atom: w 163; x 0


## w
Computed, not measured: a relaxed structure of Tl2Ga2Ge at the GGA-PBE level of DFT.

Unit cell a=8.4330 b=8.4330 c=3.5414 alpha=90.00 beta=90.00 gamma=90.00
Space group P4/mbm (No. 127)
Inequivalent atoms, fractional coordinates:
Tl 0.1816 0.3184 0.0000 x4
Ga 0.1185 0.6185 0.5000 x4
Ge 0.0000 0.0000 0.0000 x2

Values from the calculation:
size of the total moment	0.00	μB/cell
DOS(E_F)	4.629	states/eV/cell


## x
Computed, not measured: a relaxed structure of Tl2Ga2Ge at the GGA-PBE level of DFT.

Unit cell a=3.7191 b=3.7191 c=18.2612 alpha=90.00 beta=90.00 gamma=90.00
Space group I4/mmm (No. 139)
Inequivalent atoms, fractional coordinates:
Tl 0.0000 0.0000 0.1006 x4
Ga 0.0000 0.5000 0.2500 x4
Ge 0.0000 0.0000 0.5000 x2

Values from the calculation:
size of the total moment	0.00	μB/cell
DOS(E_F)	4.603	states/eV/cell


Relative energies in meV/atom: w 91; x 0


## w
Computed, not measured: a relaxed structure of TlGa3Ge at the GGA-PBE level of DFT.

Unit cell a=5.3227 b=5.3227 c=5.3227 alpha=90.00 beta=90.00 gamma=90.00
Space group Pm-3m (No. 221)
Inequivalent atoms, fractional coordinates:
Tl 0.0000 0.0000 0.0000 x1
Ga 0.0000 0.0000 0.5000 x3
Ge 0.5000 0.5000 0.5000 x1

Values from the calculation:
size of the total moment	0.00	μB/cell
DOS(E_F)	2.658	states/eV/cell


## x
Computed, not measured: a relaxed structure of TlGa3Ge at the GGA-PBE level of DFT.

Unit cell a=5.0982 b=5.0982 c=5.0982 alpha=90.00 beta=90.00 gamma=90.00
Space group Pm-3m (No. 221)
Inequivalent atoms, fractional coordinates:
Tl 0.0000 0.0000 0.0000 x1
Ga 0.0000 0.5000 0.5000 x3
Ge 0.5000 0.5000 0.5000 x1

Values from the calculation:
size of the total moment	0.00	μB/cell
DOS(E_F)	2.913	states/eV/cell


Relative energies in meV/atom: w 472; x 0


## w
Computed, not measured: a relaxed structure of TmGaGe2 at the GGA-PBE level of DFT.

Unit cell a=4.4930 b=4.4930 c=14.1901 alpha=90.00 beta=90.00 gamma=120.00
Space group R-3m (No. 166, hexagonal axes)
Inequivalent atoms, fractional coordinates:
Tm 0.0000 0.0000 0.0000 x3
Ga 0.0000 0.0000 0.5000 x3
Ge 0.0000 0.0000 0.2205 x6

Values from the calculation:
size of the total moment	0.00	μB/cell
DOS(E_F)	5.546	states/eV/cell


## x
Computed, not measured: a relaxed structure of TmGaGe2 at the GGA-PBE level of DFT.

Unit cell a=4.2671 b=4.2671 c=4.2814 alpha=90.00 beta=90.00 gamma=90.00
Space group P4/mmm (No. 123)
Inequivalent atoms, fractional coordinates:
Tm 0.0000 0.0000 0.0000 x1
Ga 0.5000 0.5000 0.0000 x1
Ge 0.0000 0.5000 0.5000 x2

Values from the calculation:
size of the total moment	0.00	μB/cell
DOS(E_F)	0.918	states/eV/cell


Relative energies in meV/atom: w 198; x 0


## w
Computed, not measured: a relaxed structure of TmGa6Ge at the GGA-PBE level of DFT.

Unit cell a=6.1755 b=6.1755 c=3.9969 alpha=90.00 beta=90.00 gamma=90.00
Space group P4/mmm (No. 123)
Inequivalent atoms, fractional coordinates:
Tm 0.0000 0.0000 0.0000 x1
Ga 0.0000 0.5000 0.0000 x2
Ga 0.2608 0.2608 0.5000 x4
Ge 0.5000 0.5000 0.0000 x1

Values from the calculation:
size of the total moment	0.00	μB/cell
DOS(E_F)	4.309	states/eV/cell


## x
Computed, not measured: a relaxed structure of TmGa6Ge at the GGA-PBE level of DFT.

Unit cell a=8.2396 b=7.9000 c=5.3493 alpha=90.00 beta=91.70 gamma=90.00
Space group C2/m (No. 12)
Inequivalent atoms, fractional coordinates:
Tm 0.0000 0.0000 0.0000 x2
Ga 0.1586 0.0000 0.5099 x4
Ga 0.1932 0.2809 0.7711 x8
Ge 0.0000 0.5000 0.5000 x2

Values from the calculation:
size of the total moment	0.00	μB/cell
DOS(E_F)	5.543	states/eV/cell


Relative energies in meV/atom: w 0; x 100


## w
Computed, not measured: a relaxed structure of YTmGaGe at the GGA-PBE level of DFT.

Unit cell a=7.1170 b=7.1170 c=7.1170 alpha=90.00 beta=90.00 gamma=90.00
Space group F-43m (No. 216)
Inequivalent atoms, fractional coordinates:
Y 0.0000 0.0000 0.0000 x4
Tm 0.0000 0.0000 0.5000 x4
Ga 0.2500 0.2500 0.2500 x4
Ge 0.2500 0.2500 0.7500 x4

Values from the calculation:
size of the total moment	0.00	μB/cell
DOS(E_F)	11.956	states/eV/cell


## x
Computed, not measured: a relaxed structure of YTmGaGe at the GGA-PBE level of DFT.

Unit cell a=3.9844 b=4.2936 c=10.7170 alpha=90.00 beta=90.00 gamma=90.00
Space group Amm2 (No. 38)
Inequivalent atoms, fractional coordinates:
Y 0.0000 0.0000 0.0000 x2
Tm 0.5000 0.0000 0.2791 x2
Ga 0.5000 0.0000 0.5597 x2
Ge 0.0000 0.0000 0.7201 x2

Values from the calculation:
size of the total moment	0.00	μB/cell
DOS(E_F)	6.411	states/eV/cell


Relative energies in meV/atom: w 225; x 0


## w
Computed, not measured: a relaxed structure of UGa2Ge at the GGA-PBE level of DFT.

Unit cell a=3.5403 b=3.5403 c=6.2903 alpha=90.00 beta=90.00 gamma=90.00
Space group P4/mmm (No. 123)
Inequivalent atoms, fractional coordinates:
U 0.0000 0.0000 0.0000 x1
Ga 0.5000 0.5000 0.2895 x2
Ge 0.0000 0.0000 0.5000 x1

Values from the calculation:
size of the total moment	2.92	μB/cell
DOS(E_F)	7.308	states/eV/cell


## x
Computed, not measured: a relaxed structure of UGa2Ge at the GGA-PBE level of DFT.

Unit cell a=4.4987 b=4.4987 c=14.0541 alpha=90.00 beta=90.00 gamma=120.00
Space group R-3m (No. 166, hexagonal axes)
Inequivalent atoms, fractional coordinates:
U 0.0000 0.0000 0.0000 x3
Ga 0.0000 0.0000 0.2231 x6
Ge 0.0000 0.0000 0.5000 x3

Values from the calculation:
size of the total moment	7.66	μB/cell
DOS(E_F)	25.546	states/eV/cell


Relative energies in meV/atom: w 0; x 116


## w
Computed, not measured: a relaxed structure of U3Ga2Ge3 at the GGA-PBE level of DFT.

Unit cell a=10.8214 b=11.2244 c=10.4308 alpha=90.00 beta=90.00 gamma=90.00
Space group Fmm2 (No. 42)
Inequivalent atoms, fractional coordinates:
U 0.0000 0.1451 0.0000 x8
U 0.0000 0.1501 0.3766 x8
U 0.1553 0.0000 0.8919 x8
Ga 0.1363 0.0000 0.5810 x8
Ga 0.2500 0.2500 0.2199 x8
Ge 0.0000 0.1590 0.6944 x8
Ge 0.1489 0.0000 0.1898 x8
Ge 0.2500 0.2500 0.4706 x8

Values from the calculation:
size of the total moment	19.60	μB/cell
DOS(E_F)	93.353	states/eV/cell


## x
Computed, not measured: a relaxed structure of U3Ga2Ge3 at the GGA-PBE level of DFT.

Unit cell a=7.7376 b=7.7376 c=11.1099 alpha=90.00 beta=90.00 gamma=90.00
Space group I4cm (No. 108)
Inequivalent atoms, fractional coordinates:
U 0.0000 0.0000 0.0000 x4
U 0.1539 0.3461 0.2719 x8
Ga 0.1419 0.3581 0.5862 x8
Ge 0.0000 0.0000 0.2501 x4
Ge 0.1483 0.3517 0.9566 x8

Values from the calculation:
size of the total moment	29.95	μB/cell
DOS(E_F)	52.974	states/eV/cell


Relative energies in meV/atom: w 122; x 0